[1]
4
Lattice="5.1592 0.0000 0.0000 2.5796 4.4680 0.0000 2.5796 1.4893 4.2125" Properties=species:S:1:pos:R:3 comment="NaLaZnGe PBE optimized geometry" spacegroup="No. 216" magnetic_moment_mub_per_cell=0.00 delta_e_f_ev_per_atom=-0.34 pbc="T T T"
Ge 2.5796 1.4893 1.0531
Zn 7.7389 4.4680 3.1594
La 0.0000 0.0000 0.0000
Na 5.1592 2.9787 2.1063

[2]
4
Lattice="4.4779 0.0000 0.0000 2.2390 3.8780 0.0000 2.2390 1.2927 3.6562" Properties=species:S:1:pos:R:3 comment="ZrTiVNi PBE optimized geometry" spacegroup="No. 216" magnetic_moment_mub_per_cell=1.24 delta_e_f_ev_per_atom=-0.05 pbc="T T T"
Ti 2.2390 1.2927 0.9141
V 0.0000 0.0000 0.0000
Zr 6.7169 3.8780 2.7422
Ni 4.4779 2.5853 1.8281